Computed, not measured: KTa2Si after structural relaxation at the PBEsol level of DFT.

Geometry as POSCAR:
```
KTa2Si
1.0
4.4545 -1.4318 0.0000
4.4545 1.4318 0.0000
-0.6218 0.0000 7.4994
K Ta Si
1 2 1
Direct
0.0000 0.0000 0.0000
0.5113 0.5113 0.5300
0.7784 0.7784 0.3642
0.2503 0.2503 0.6628
```

Values from the calculation:
V = 23.9 Å³ per atom
DFT total energy = -7.43 eV per atom
SG = Cm (8)

=====

Computed, not measured: BaCd after structural relaxation at the PBEsol level of DFT.

Geometry as POSCAR:
```
BaCd
1.0
2.5143 1.4516 7.6659
-2.5143 1.4516 7.6659
0.0000 -2.9032 7.6659
Ba Cd
2 2
Direct
0.0881 0.0881 0.0881
0.9119 0.9119 0.9119
0.3337 0.3337 0.3337
0.6663 0.6663 0.6663
```

Values from the calculation:
V = 42.0 Å³ per atom
Energy relative to the elements = -0.24 eV per atom
DFT total energy = -1.91 eV per atom
SG = R-3m (166)

=====

Computed, not measured: ZrGa2PdCl after structural relaxation at the PBEsol level of DFT.

Geometry as POSCAR:
```
ZrGa2PdCl
1.0
5.3487 0.0000 0.0000
0.0000 5.3487 0.0000
0.0000 0.0000 4.8138
Zr Ga Pd Cl
1 2 1 1
Direct
0.0000 0.0000 0.0000
0.0000 0.5000 0.0000
0.5000 0.0000 0.0000
0.0000 0.0000 0.5000
0.5000 0.5000 0.5000
```

Values from the calculation:
V = 27.5 Å³ per atom
DFT total energy = -4.07 eV per atom
SG = P4/mmm (123)

=====

Computed, not measured: NbCI2 after structural relaxation at the PBEsol level of DFT.

Geometry as POSCAR:
```
NbCI2
1.0
0.0000 3.3686 3.3686
3.3686 0.0000 3.3686
3.3686 3.3686 0.0000
Nb C I
1 1 2
Direct
0.0000 0.0000 0.0000
0.5000 0.5000 0.5000
0.2500 0.2500 0.2500
0.7500 0.7500 0.7500
```

Values from the calculation:
V = 19.1 Å³ per atom
DFT total energy = -4.46 eV per atom
SG = Fm-3m (225)

=====

Computed, not measured: ScAlSb2Te after structural relaxation at the PBEsol level of DFT.

Geometry as POSCAR:
```
ScAlSb2Te
1.0
5.4058 0.0000 0.0000
0.0000 5.4058 0.0000
0.0000 0.0000 5.4048
Sc Al Sb Te
1 1 2 1
Direct
0.0000 0.0000 0.0000
0.5000 0.5000 0.5000
0.0000 0.5000 0.0000
0.5000 0.0000 0.0000
0.0000 0.0000 0.5000
```

Values from the calculation:
V = 31.6 Å³ per atom
DFT total energy = -4.43 eV per atom
SG = P4/mmm (123)

=====

Computed, not measured: CaTeO4 after structural relaxation at the PBEsol level of DFT.

Geometry as POSCAR:
```
CaTeO4
1.0
5.2238 0.0000 0.0000
0.0000 12.6898 0.0000
0.0000 0.0000 5.0133
Ca Te O
4 4 16
Direct
0.0000 0.1700 0.2500
0.0000 0.8300 0.7500
0.5000 0.3300 0.7500
0.5000 0.6700 0.2500
0.0000 0.4276 0.2500
0.0000 0.5724 0.7500
0.5000 0.0724 0.7500
0.5000 0.9276 0.2500
0.2049 0.4559 0.5728
0.2049 0.5441 0.0728
0.2215 0.3256 0.1156
0.2215 0.6744 0.6156
0.2785 0.1744 0.6156
0.2785 0.8256 0.1156
0.2951 0.0441 0.0728
0.2951 0.9559 0.5728
0.7049 0.0441 0.4272
0.7049 0.9559 0.9272
0.7215 0.1744 0.8844
0.7215 0.8256 0.3844
0.7785 0.3256 0.3844
0.7785 0.6744 0.8844
0.7951 0.4559 0.9272
0.7951 0.5441 0.4272
```

Values from the calculation:
V = 13.8 Å³ per atom
DFT total energy = -6.28 eV per atom
SG = Pbcn (60)

=====

Computed, not measured: Be2SiAs after structural relaxation at the PBEsol level of DFT.

Geometry as POSCAR:
```
Be2SiAs
1.0
-1.6416 1.6744 4.7441
1.6416 -1.6744 4.7441
1.6416 1.6744 -4.7441
Be Si As
2 1 1
Direct
0.0000 0.0000 0.0000
0.8050 0.3050 0.5000
0.3264 0.8264 0.5000
0.6101 0.6101 0.0000
```

Values from the calculation:
Relative energy among the computed polymorphs = 0.801 eV/f.u.
V = 13.0 Å³ per atom
DFT total energy = -4.34 eV per atom
SG = Imm2 (44)

=====

Computed, not measured: ZrPNCl2 after structural relaxation at the PBEsol level of DFT.

Geometry as POSCAR:
```
ZrPNCl2
1.0
4.9566 0.0000 0.0000
0.0000 4.9566 0.0000
0.0000 0.0000 5.0997
Zr P N Cl
1 1 1 2
Direct
0.0000 0.0000 0.0000
0.0000 0.0000 0.5000
0.5000 0.5000 0.5000
0.0000 0.5000 0.0000
0.5000 0.0000 0.0000
```

Values from the calculation:
Relative energy among the computed polymorphs = 0.000 eV/f.u.
V = 25.1 Å³ per atom
DFT total energy = -5.10 eV per atom
SG = P4/mmm (123)

=====

Computed, not measured: Cr2SiW after structural relaxation at the PBEsol level of DFT.

Geometry as POSCAR:
```
Cr2SiW
1.0
-1.7679 1.7679 4.0373
1.7679 -1.7679 4.0373
1.7679 1.7679 -4.0373
Cr Si W
2 1 1
Direct
0.0000 0.0000 0.0000
0.7500 0.2500 0.5000
0.5000 0.5000 0.0000
0.2500 0.7500 0.5000
```

Values from the calculation:
V = 12.6 Å³ per atom
DFT total energy = -10.01 eV per atom
SG = I-4m2 (119)

=====

Computed, not measured: YInFe after structural relaxation at the PBEsol level of DFT.

Geometry as POSCAR:
```
YInFe
1.0
0.0000 3.1889 3.1889
3.1889 0.0000 3.1889
3.1889 3.1889 0.0000
Y In Fe
1 1 1
Direct
0.0000 0.0000 0.0000
0.5000 0.5000 0.5000
0.7500 0.7500 0.7500
```

Values from the calculation:
V = 21.6 Å³ per atom
Energy relative to the elements = 0.16 eV per atom
DFT total energy = -6.09 eV per atom
SG = F-43m (216)

=====

Computed, not measured: GdTmCd2 after structural relaxation at the PBEsol level of DFT.

Geometry as POSCAR:
```
GdTmCd2
1.0
0.0000 3.6687 3.6687
3.6687 0.0000 3.6687
3.6687 3.6687 0.0000
Gd Tm Cd
1 1 2
Direct
0.0000 0.0000 0.0000
0.5000 0.5000 0.5000
0.2500 0.2500 0.2500
0.7500 0.7500 0.7500
```

Values from the calculation:
V = 24.7 Å³ per atom
Energy relative to the elements = -0.34 eV per atom
DFT total energy = -5.78 eV per atom
SG = Fm-3m (225)

=====

Computed, not measured: Er16In4Ir4O after structural relaxation at the PBEsol level of DFT.

Geometry as POSCAR:
```
Er16In4Ir4O
1.0
0.0000 6.6423 6.6423
6.6423 0.0000 6.6423
6.6423 6.6423 0.0000
Er In Ir O
16 4 4 1
Direct
0.0582 0.0582 0.4418
0.0582 0.4418 0.0582
0.0582 0.4418 0.4418
0.1844 0.1844 0.8156
0.1844 0.8156 0.1844
0.1844 0.8156 0.8156
0.2013 0.5996 0.5996
0.4418 0.0582 0.0582
0.4418 0.0582 0.4418
0.4418 0.4418 0.0582
0.5996 0.2013 0.5996
0.5996 0.5996 0.2013
0.5996 0.5996 0.5996
0.8156 0.1844 0.1844
0.8156 0.1844 0.8156
0.8156 0.8156 0.1844
0.5007 0.8331 0.8331
0.8331 0.5007 0.8331
0.8331 0.8331 0.5007
0.8331 0.8331 0.8331
0.3914 0.3914 0.3914
0.3914 0.3914 0.8258
0.3914 0.8258 0.3914
0.8258 0.3914 0.3914
0.0000 0.0000 0.0000
```

Values from the calculation:
V = 23.4 Å³ per atom
DFT total energy = -6.24 eV per atom
SG = F-43m (216)

=====

Computed, not measured: RuSe2O after structural relaxation at the PBEsol level of DFT.

Geometry as POSCAR:
```
RuSe2O
1.0
-2.6351 2.6351 5.3049
2.6351 -2.6351 5.3049
2.6351 2.6351 -5.3049
Ru Se O
2 4 2
Direct
0.0000 0.0000 0.0000
0.7500 0.2500 0.5000
0.1382 0.6250 0.0132
0.3750 0.3882 0.5132
0.6118 0.1250 0.9868
0.8750 0.8618 0.4868
0.2500 0.7500 0.5000
0.5000 0.5000 0.0000
```

Values from the calculation:
V = 18.4 Å³ per atom
DFT total energy = -5.60 eV per atom
SG = I-42d (122)

=====

Computed, not measured: PtPb2Br after structural relaxation at the PBEsol level of DFT.

Geometry as POSCAR:
```
PtPb2Br
1.0
3.2005 -1.8499 0.0000
3.2005 1.8499 0.0000
-2.3243 0.0000 8.6366
Pt Pb Br
1 2 1
Direct
0.0000 0.0000 0.0000
0.2651 0.2651 0.8099
0.5079 0.5079 0.4844
0.7415 0.7415 0.2071
```

Values from the calculation:
Relative energy among the computed polymorphs = 1.200 eV/f.u.
V = 25.6 Å³ per atom
DFT total energy = -4.24 eV per atom
SG = Cm (8)

=====

Computed, not measured: ReSi2Rh after structural relaxation at the PBEsol level of DFT.

Geometry as POSCAR:
```
ReSi2Rh
1.0
0.0000 2.9425 2.9425
2.9425 0.0000 2.9425
2.9425 2.9425 0.0000
Re Si Rh
1 2 1
Direct
0.0000 0.0000 0.0000
0.2500 0.2500 0.2500
0.7500 0.7500 0.7500
0.5000 0.5000 0.5000
```

Values from the calculation:
Relative energy among the computed polymorphs = 0.000 eV/f.u.
V = 12.7 Å³ per atom
DFT total energy = -8.77 eV per atom
SG = Fm-3m (225)

=====

Computed, not measured: Cr4Rh after structural relaxation at the PBEsol level of DFT.

Geometry as POSCAR:
```
Cr4Rh
1.0
-1.8156 1.8156 4.8118
1.8156 -1.8156 4.8118
1.8156 1.8156 -4.8118
Cr Rh
4 1
Direct
0.1122 0.1122 0.0000
0.2500 0.7500 0.5000
0.7500 0.2500 0.5000
0.8878 0.8878 0.0000
0.5000 0.5000 0.0000
```

Values from the calculation:
V = 12.7 Å³ per atom
Energy relative to the elements = 0.69 eV per atom
DFT total energy = -9.13 eV per atom
SG = I4/mmm (139)

=====

Computed, not measured: CaY2O4 after structural relaxation at the PBEsol level of DFT.

Geometry as POSCAR:
```
CaY2O4
1.0
0.0000 4.7712 4.7712
4.7712 0.0000 4.7712
4.7712 4.7712 0.0000
Ca Y O
2 4 8
Direct
0.1250 0.1250 0.1250
0.8750 0.8750 0.8750
0.0000 0.5000 0.5000
0.5000 0.0000 0.5000
0.5000 0.5000 0.0000
0.5000 0.5000 0.5000
0.2630 0.2630 0.2630
0.2630 0.2630 0.7109
0.2630 0.7109 0.2630
0.2891 0.7370 0.7370
0.7109 0.2630 0.2630
0.7370 0.2891 0.7370
0.7370 0.7370 0.2891
0.7370 0.7370 0.7370
```

Values from the calculation:
Relative energy among the computed polymorphs = 0.000 eV/f.u.
V = 15.5 Å³ per atom
DFT total energy = -8.66 eV per atom
SG = Fd-3m (227)

=====

Computed, not measured: Cs2MnTe2 after structural relaxation at the PBEsol level of DFT.

Geometry as POSCAR:
```
Cs2MnTe2
1.0
-3.9061 7.5710 3.5576
3.9061 -7.5710 3.5576
3.9061 7.5710 -3.5576
Cs Mn Te
4 2 4
Direct
0.1449 0.1745 0.3194
0.3551 0.6745 0.0296
0.6449 0.3255 0.9704
0.8551 0.8255 0.6806
0.2500 0.7500 0.5000
0.7500 0.2500 0.5000
0.0997 0.6813 0.7809
0.4003 0.1813 0.5816
0.5997 0.8187 0.4184
0.9003 0.3187 0.2191
```

Values from the calculation:
V = 42.1 Å³ per atom
DFT total energy = -4.44 eV per atom
SG = Ibam (72)

=====

Computed, not measured: Li2Ni3SnO8 after structural relaxation at the PBEsol level of DFT.

Geometry as POSCAR:
```
Li2Ni3SnO8
1.0
5.7536 0.0000 0.0000
-2.8768 4.9828 0.0000
0.0000 0.0000 9.4057
Li Ni Sn O
4 6 2 16
Direct
0.0000 0.0000 0.0000
0.0000 0.0000 0.5000
0.3333 0.6667 0.1025
0.6667 0.3333 0.6025
0.1700 0.3399 0.7798
0.1700 0.8300 0.7798
0.3399 0.1700 0.2798
0.6601 0.8300 0.7798
0.8300 0.1700 0.2798
0.8300 0.6601 0.2798
0.3333 0.6667 0.5014
0.6667 0.3333 0.0014
0.0000 0.0000 0.1899
0.0000 0.0000 0.6899
0.0324 0.5162 0.6624
0.1565 0.3130 0.3913
0.1565 0.8435 0.3913
0.3130 0.1565 0.8913
0.3333 0.6667 0.8833
0.4838 0.5162 0.6624
0.4838 0.9676 0.6624
0.5162 0.0324 0.1624
0.5162 0.4838 0.1624
0.6667 0.3333 0.3833
0.6870 0.8435 0.3913
0.8435 0.1565 0.8913
0.8435 0.6870 0.8913
0.9676 0.4838 0.1624
```

Values from the calculation:
Relative energy among the computed polymorphs = 0.011 eV/f.u.
V = 9.6 Å³ per atom
DFT total energy = -6.18 eV per atom
SG = P6_3mc (186)

=====

Computed, not measured: Rb3BiW after structural relaxation at the PBEsol level of DFT.

Geometry as POSCAR:
```
Rb3BiW
1.0
6.5860 0.0000 0.0000
0.0000 6.5860 0.0000
0.0000 0.0000 6.5860
Rb Bi W
3 1 1
Direct
0.0000 0.0000 0.5000
0.0000 0.5000 0.0000
0.5000 0.0000 0.0000
0.5000 0.5000 0.5000
0.0000 0.0000 0.0000
```

Values from the calculation:
V = 57.1 Å³ per atom
Energy relative to the elements = 1.55 eV per atom
DFT total energy = -2.68 eV per atom
SG = Pm-3m (221)

=====

Computed, not measured: BaBrCl after structural relaxation at the PBEsol level of DFT.

Geometry as POSCAR:
```
BaBrCl
1.0
7.9313 0.0000 0.0000
0.0000 4.9246 0.0000
0.0000 0.0000 9.9970
Ba Br Cl
4 4 4
Direct
0.2289 0.2500 0.0995
0.2711 0.7500 0.5995
0.7289 0.2500 0.4005
0.7711 0.7500 0.9005
0.1407 0.2500 0.4138
0.3593 0.7500 0.9138
0.6407 0.2500 0.0862
0.8593 0.7500 0.5862
0.0067 0.2500 0.8452
0.4933 0.7500 0.3452
0.5067 0.2500 0.6548
0.9933 0.7500 0.1548
```

Values from the calculation:
Relative energy among the computed polymorphs = 0.076 eV/f.u.
V = 32.5 Å³ per atom
DFT total energy = -4.35 eV per atom
SG = Pnma (62)

=====

Computed, not measured: K2CaMn after structural relaxation at the PBEsol level of DFT.

Geometry as POSCAR:
```
K2CaMn
1.0
-3.0270 3.0270 4.2698
3.0270 -3.0270 4.2698
3.0270 3.0270 -4.2698
K Ca Mn
2 1 1
Direct
0.0000 0.0000 0.0000
0.7500 0.2500 0.5000
0.2500 0.7500 0.5000
0.5000 0.5000 0.0000
```

Values from the calculation:
Relative energy among the computed polymorphs = 0.004 eV/f.u.
V = 39.1 Å³ per atom
Energy relative to the elements = 0.77 eV per atom
DFT total energy = -2.77 eV per atom
SG = I-4m2 (119)

=====

Computed, not measured: Cu2RePt after structural relaxation at the PBEsol level of DFT.

Geometry as POSCAR:
```
Cu2RePt
1.0
2.7025 0.0000 0.0000
0.0000 2.7025 0.0000
0.0000 0.0000 7.1549
Cu Re Pt
2 1 1
Direct
0.0000 0.0000 0.0000
0.5000 0.5000 0.2208
0.5000 0.5000 0.7463
0.0000 0.0000 0.4807
```

Values from the calculation:
Relative energy among the computed polymorphs = 0.000 eV/f.u.
V = 13.1 Å³ per atom
Energy relative to the elements = 0.03 eV per atom
DFT total energy = -7.22 eV per atom
SG = P4mm (99)

=====

Computed, not measured: MnRhBr2 after structural relaxation at the PBEsol level of DFT.

Geometry as POSCAR:
```
MnRhBr2
1.0
6.6096 -1.7005 0.0000
6.6096 1.7005 0.0000
-0.5331 0.0000 3.9466
Mn Rh Br
1 1 2
Direct
0.0000 0.0000 0.0000
0.5000 0.5000 0.5000
0.3520 0.3520 0.7962
0.6480 0.6480 0.2038
```

Values from the calculation:
Relative energy among the computed polymorphs = 0.000 eV/f.u.
V = 22.2 Å³ per atom
DFT total energy = -5.38 eV per atom
SG = C2/m (12)

=====

Computed, not measured: BaCuNi after structural relaxation at the PBEsol level of DFT.

Geometry as POSCAR:
```
BaCuNi
1.0
4.1485 0.0000 0.0000
-2.0743 3.5927 0.0000
0.0000 0.0000 4.4704
Ba Cu Ni
1 1 1
Direct
0.0000 0.0000 0.0000
0.3333 0.6667 0.5000
0.6667 0.3333 0.5000
```

Values from the calculation:
V = 22.2 Å³ per atom
Energy relative to the elements = 0.13 eV per atom
DFT total energy = -4.08 eV per atom
SG = P-6m2 (187)